DFT (GGA+U) results for crystalline NiTeO2 at its relaxed geometry.

Cell lengths 4.169, 5.609, 5.640 Å; angles 87.89, 87.34, 78.46 degrees
Positions (direct):
Ni 0.000 0.000 0.000
Ni 0.136 0.463 0.536
Te 0.529 0.606 0.028
Te 0.682 0.126 0.471
O 0.140 0.654 0.235
O 0.230 0.692 0.775
O 0.521 0.955 0.048
O 0.888 0.266 0.751

Computed properties:
**Symmetry**: P1 (1)
**E_tot**: -4.56 eV per atom
**Density of states at the Fermi level**: 0.00 states/eV/f.u.